No. 1
A relaxed Ac3In5Se12 crystal, computed with PBE-GGA.

Lattice parameters (Å, degrees): 14.720 14.720 14.720 109.47 109.47 109.47
Sites, in units of the cell vectors:
Ac  0.375  0.625  0.250
Ac  0.250  0.625  0.875
Ac  0.750  0.375  0.125
Ac  0.375  0.750  0.625
Ac  0.125  0.250  0.875
Ac  0.875  0.750  0.125
Ac  0.875  0.125  0.250
Ac  0.250  0.125  0.375
Ac  0.625  0.375  0.750
Ac  0.125  0.875  0.750
Ac  0.750  0.875  0.625
Ac  0.625  0.250  0.375
Se  0.711  0.125  0.036
Se  0.375  0.411  0.086
Se  0.089  0.914  0.125
Se  0.536  0.325  0.911
Se  0.125  0.414  0.089
Se  0.086  0.911  0.375
Se  0.464  0.675  0.089
Se  0.589  0.964  0.675
Se  0.036  0.625  0.711
Se  0.825  0.911  0.036
Se  0.411  0.375  0.586
Se  0.036  0.411  0.825
Se  0.211  0.536  0.625
Se  0.825  0.914  0.289
Se  0.086  0.175  0.211
Se  0.914  0.825  0.789
Se  0.211  0.675  0.086
Se  0.875  0.289  0.464
Se  0.789  0.325  0.914
Se  0.175  0.089  0.964
Se  0.625  0.036  0.211
Se  0.875  0.586  0.911
Se  0.175  0.086  0.711
Se  0.911  0.825  0.536
Se  0.325  0.536  0.411
Se  0.414  0.289  0.325
Se  0.914  0.089  0.625
Se  0.125  0.711  0.536
Se  0.586  0.711  0.675
Se  0.536  0.211  0.125
Se  0.289  0.414  0.825
Se  0.911  0.086  0.875
Se  0.325  0.789  0.414
Se  0.675  0.464  0.589
Se  0.789  0.464  0.375
Se  0.289  0.875  0.964
Se  0.625  0.589  0.914
Se  0.464  0.789  0.875
Se  0.675  0.211  0.586
Se  0.589  0.625  0.414
Se  0.711  0.586  0.175
Se  0.964  0.375  0.289
Se  0.586  0.875  0.411
Se  0.375  0.964  0.789
Se  0.964  0.589  0.175
Se  0.089  0.175  0.464
Se  0.411  0.036  0.325
Se  0.414  0.125  0.589
In  0.125  0.375  0.250
In  0.250  0.375  0.625
In  0.500  0.500  0.500
In  0.500  0.000  0.500
In  0.000  0.500  0.000
In  0.375  0.125  0.750
In  0.125  0.750  0.375
In  0.750  0.625  0.375
In  0.250  0.875  0.125
In  0.875  0.250  0.625
In  0.500  0.500  0.000
In  0.875  0.625  0.750
In  0.000  0.500  0.500
In  0.625  0.875  0.250
In  0.000  0.000  0.000
In  0.750  0.125  0.875
In  0.500  0.000  0.000
In  0.000  0.000  0.500
In  0.375  0.250  0.125
In  0.625  0.750  0.875

Calculated values
Magnetization, μB/cell: 0.0

---

No. 2
A relaxed SrAc2In3Se6 crystal, computed with PBE-GGA.

Lattice parameters (Å, degrees): 4.504 9.074 10.125 103.30 102.85 90.00
Sites, in units of the cell vectors:
In  0.500  0.500  0.000
In  0.163  0.834  0.327
In  0.837  0.166  0.673
Sr  0.500  0.000  0.000
Se  0.005  0.251  0.011
Se  0.330  0.433  0.661
Se  0.663  0.092  0.326
Se  0.337  0.908  0.674
Se  0.670  0.567  0.339
Se  0.995  0.749  0.989
Ac  0.834  0.673  0.668
Ac  0.166  0.327  0.332

Calculated values
Magnetization, μB/cell: 0.0
DOS(E_F), states/eV/cell: 8.26

---

No. 3
A relaxed SrAcIn2Se4 crystal, computed with PBE-GGA.

Lattice parameters (Å, degrees): 4.474 7.760 7.768 70.64 90.00 90.00
Sites, in units of the cell vectors:
In  0.500  0.000  0.500
In  0.000  0.000  0.000
Ac  0.000  0.500  0.500
Sr  0.500  0.500  0.000
Se  0.000  0.743  0.745
Se  0.500  0.261  0.739
Se  0.000  0.257  0.255
Se  0.500  0.739  0.261

Calculated values
Magnetization, μB/cell: 0.0
DOS(E_F), states/eV/cell: 7.50

---

No. 4
A relaxed Ac4InTe2Se crystal, computed with PBE-GGA.

Lattice parameters (Å, degrees): 4.652 8.284 8.128 71.02 90.00 90.00
Sites, in units of the cell vectors:
Ac  0.000  0.739  0.751
Ac  0.500  0.733  0.257
Ac  0.500  0.267  0.743
Ac  0.000  0.261  0.249
Te  0.000  0.000  0.000
Te  0.500  0.000  0.500
Se  0.000  0.500  0.500
In  0.500  0.500  0.000

Calculated values
Magnetization, μB/cell: 0.0
DOS(E_F), states/eV/cell: 3.69

---

No. 5
A relaxed Ac4InTeSe2 crystal, computed with PBE-GGA.

Lattice parameters (Å, degrees): 4.551 8.056 8.147 71.25 90.00 90.00
Sites, in units of the cell vectors:
Ac  0.000  0.762  0.747
Ac  0.500  0.236  0.762
Ac  0.000  0.238  0.253
Ac  0.500  0.764  0.238
In  0.500  0.500  0.000
Se  0.500  0.000  0.500
Se  0.000  0.000  0.000
Te  0.000  0.500  0.500

Calculated values
Magnetization, μB/cell: 0.0
DOS(E_F), states/eV/cell: 3.87

---

No. 6
A relaxed AcInTeSe crystal, computed with PBE-GGA.

Lattice parameters (Å, degrees): 5.570 5.570 5.570 60.00 60.00 60.00
Sites, in units of the cell vectors:
Ac  0.500  0.500  0.500
Te  0.750  0.750  0.750
In  0.000  0.000  0.000
Se  0.250  0.250  0.250

Calculated values
Magnetization, μB/cell: 0.0

---

No. 7
A relaxed AcTl2InSe4 crystal, computed with PBE-GGA.

Lattice parameters (Å, degrees): 8.931 8.931 9.203 121.01 121.01 90.23
Sites, in units of the cell vectors:
Se  0.753  0.747  0.542
Se  0.753  0.747  0.958
Se  0.247  0.253  0.458
Se  0.247  0.253  0.042
Se  0.221  0.755  0.988
Se  0.255  0.721  0.488
Se  0.779  0.245  0.012
Se  0.745  0.279  0.512
Tl  0.500  0.000  0.000
Tl  0.500  0.500  0.000
Tl  0.000  0.000  0.500
Tl  0.500  0.000  0.500
In  0.500  0.500  0.500
In  0.000  0.000  0.000
Ac  0.000  0.500  0.000
Ac  0.000  0.500  0.500

Calculated values
Magnetization, μB/cell: 0.0
DOS(E_F), states/eV/cell: 1.72

---

No. 8
A relaxed Ac3Tl4InSe8 crystal, computed with PBE-GGA.

Lattice parameters (Å, degrees): 8.913 9.306 8.916 118.64 119.99 90.00
Sites, in units of the cell vectors:
Ac  0.000  0.500  0.500
Ac  0.500  0.500  0.000
Ac  0.500  0.500  0.500
Tl  0.500  0.000  0.500
Tl  0.000  0.000  0.000
Tl  0.500  0.000  0.000
Tl  0.000  0.000  0.500
Se  0.227  0.712  0.985
Se  0.772  0.287  0.544
Se  0.758  0.712  0.985
Se  0.773  0.288  0.015
Se  0.260  0.279  0.520
Se  0.228  0.713  0.456
Se  0.740  0.721  0.480
Se  0.242  0.288  0.015
In  0.000  0.500  0.000

Calculated values
Magnetization, μB/cell: 0.0
DOS(E_F), states/eV/cell: 0.71

---

No. 9
A relaxed AcTlInSe3 crystal, computed with PBE-GGA.

Lattice parameters (Å, degrees): 4.983 8.833 9.797 99.54 90.00 90.00
Sites, in units of the cell vectors:
Se  0.250  0.556  0.839
Se  0.750  0.444  0.161
Se  0.250  0.795  0.482
Se  0.250  0.110  0.861
Se  0.750  0.205  0.518
Se  0.750  0.890  0.139
Tl  0.750  0.816  0.798
Tl  0.250  0.184  0.202
In  0.250  0.119  0.582
In  0.750  0.881  0.418
Ac  0.750  0.335  0.850
Ac  0.250  0.665  0.150

Calculated values
Magnetization, μB/cell: 0.0
DOS(E_F), states/eV/cell: 1.45

---

No. 10
A relaxed AcTmIn2Se4 crystal, computed with PBE-GGA.

Lattice parameters (Å, degrees): 4.322 8.101 7.515 72.21 90.00 90.00
Sites, in units of the cell vectors:
Se  0.500  0.292  0.716
Se  0.000  0.283  0.261
Se  0.000  0.717  0.739
Se  0.500  0.708  0.284
In  0.500  0.000  0.500
In  0.000  0.000  0.000
Ac  0.500  0.500  0.000
Tm  0.000  0.500  0.500

Calculated values
Magnetization, μB/cell: 0.0

---

No. 11
A relaxed Ac2InSi2 crystal, computed with PBE-GGA.

Lattice parameters (Å, degrees): 4.524 4.044 7.986 104.67 90.00 90.00
Sites, in units of the cell vectors:
Si  0.000  0.206  0.413
Si  0.000  0.794  0.587
In  0.000  0.000  0.000
Ac  0.500  0.634  0.268
Ac  0.500  0.366  0.732

Calculated values
Magnetization, μB/cell: 0.0
DOS(E_F), states/eV/cell: 1.48
Energy relative to the lowest polymorph listed for this composition, meV per atom: 0

---

No. 12
A relaxed Ac3InSi crystal, computed with PBE-GGA.

Lattice parameters (Å, degrees): 5.935 5.935 5.935 90.00 90.00 90.00
Sites, in units of the cell vectors:
Si  0.000  0.000  0.000
Ac  0.500  0.000  0.000
Ac  0.000  0.000  0.500
Ac  0.000  0.500  0.000
In  0.500  0.500  0.500

Calculated values
Magnetization, μB/cell: 0.0
DOS(E_F), states/eV/cell: 5.58
Energy relative to the lowest polymorph listed for this composition, meV per atom: 216

---

No. 13
A relaxed Ac3InSi crystal, computed with PBE-GGA.

Lattice parameters (Å, degrees): 8.292 9.235 10.376 115.19 90.00 90.00
Sites, in units of the cell vectors:
In  0.848  0.558  0.589
In  0.152  0.442  0.411
In  0.652  0.058  0.589
In  0.348  0.942  0.411
Si  0.517  0.142  0.081
Si  0.983  0.642  0.081
Si  0.017  0.358  0.919
Si  0.483  0.858  0.919
Ac  0.686  0.886  0.192
Ac  0.493  0.714  0.565
Ac  0.176  0.011  0.149
Ac  0.007  0.214  0.565
Ac  0.993  0.786  0.435
Ac  0.814  0.386  0.192
Ac  0.186  0.614  0.808
Ac  0.824  0.989  0.851
Ac  0.324  0.511  0.149
Ac  0.676  0.489  0.851
Ac  0.314  0.114  0.808
Ac  0.507  0.286  0.435

Calculated values
Magnetization, μB/cell: 0.0
DOS(E_F), states/eV/cell: 20.59
Energy relative to the lowest polymorph listed for this composition, meV per atom: 0

---

No. 14
A relaxed Ac2In2Si crystal, computed with PBE-GGA.

Lattice parameters (Å, degrees): 4.106 4.106 9.946 101.91 101.91 90.00
Sites, in units of the cell vectors:
In  0.750  0.250  0.500
In  0.250  0.750  0.500
Ac  0.589  0.589  0.177
Ac  0.411  0.411  0.823
Si  0.000  0.000  0.000

Calculated values
Magnetization, μB/cell: 0.0
DOS(E_F), states/eV/cell: 3.05

---

No. 15
A relaxed Ac4In3Si crystal, computed with PBE-GGA.

Lattice parameters (Å, degrees): 4.940 4.496 12.357 90.00 90.00 90.00
Sites, in units of the cell vectors:
Ac  0.000  0.000  0.138
Ac  0.500  0.500  0.348
Ac  0.000  0.500  0.864
Ac  0.500  0.000  0.644
In  0.000  0.500  0.576
In  0.000  0.000  0.421
In  0.500  0.000  0.935
Si  0.500  0.500  0.075

Calculated values
Magnetization, μB/cell: 0.2
DOS(E_F), states/eV/cell: 7.43

---

No. 16
A relaxed Ac6InSi2 crystal, computed with PBE-GGA.

Lattice parameters (Å, degrees): 9.417 9.417 9.417 107.14 109.57 111.74
Sites, in units of the cell vectors:
Ac  0.296  0.617  0.321
Ac  0.704  0.025  0.321
Ac  0.543  0.724  0.819
Ac  0.205  0.239  0.444
Ac  0.795  0.239  0.035
Ac  0.095  0.276  0.819
Ac  0.795  0.761  0.556
Ac  0.905  0.724  0.181
Ac  0.457  0.276  0.181
Ac  0.205  0.761  0.965
Ac  0.296  0.975  0.679
Ac  0.704  0.383  0.679
In  0.000  0.500  0.500
In  0.000  0.000  0.000
Si  0.621  0.000  0.621
Si  0.379  0.000  0.379
Si  0.500  0.608  0.108
Si  0.500  0.392  0.892

Calculated values
Magnetization, μB/cell: 0.0
DOS(E_F), states/eV/cell: 14.81
Energy relative to the lowest polymorph listed for this composition, meV per atom: 0

---

No. 17
A relaxed Ac3InSi2 crystal, computed with PBE-GGA.

Lattice parameters (Å, degrees): 8.311 8.311 8.311 60.83 60.83 60.83
Sites, in units of the cell vectors:
Ac  0.542  0.958  0.250
Ac  0.750  0.458  0.042
Ac  0.250  0.542  0.958
Ac  0.958  0.250  0.542
Ac  0.042  0.750  0.458
Ac  0.458  0.042  0.750
Si  0.854  0.854  0.854
Si  0.146  0.146  0.146
Si  0.354  0.354  0.354
Si  0.646  0.646  0.646
In  0.000  0.000  0.000
In  0.500  0.500  0.500

Calculated values
Magnetization, μB/cell: 0.0
DOS(E_F), states/eV/cell: 13.05

---

No. 18
A relaxed Ac6In2Si crystal, computed with PBE-GGA.

Lattice parameters (Å, degrees): 4.739 8.963 8.963 120.00 90.00 90.00
Sites, in units of the cell vectors:
Ac  0.500  0.602  0.000
Ac  0.500  0.399  0.399
Ac  0.500  0.000  0.601
Ac  0.000  0.000  0.250
Ac  0.000  0.750  0.750
Ac  0.000  0.250  0.000
In  0.000  0.667  0.333
In  0.000  0.333  0.667
Si  0.500  0.000  0.000

Calculated values
Magnetization, μB/cell: 0.8
DOS(E_F), states/eV/cell: 13.67
Energy relative to the lowest polymorph listed for this composition, meV per atom: 0

---

No. 19
A relaxed Ac5In2Si2 crystal, computed with PBE-GGA.

Lattice parameters (Å, degrees): 8.436 8.360 9.595 115.83 90.00 90.00
Sites, in units of the cell vectors:
Ac  0.318  0.683  0.744
Ac  0.500  0.500  0.000
Ac  0.182  0.439  0.256
Ac  0.818  0.561  0.744
Ac  0.000  0.000  0.000
Ac  0.818  0.817  0.256
Ac  0.682  0.317  0.256
Ac  0.682  0.061  0.744
Ac  0.318  0.939  0.256
Ac  0.182  0.183  0.744
In  0.500  0.720  0.440
In  0.500  0.280  0.560
In  0.000  0.780  0.560
In  0.000  0.220  0.440
Si  0.109  0.605  0.000
Si  0.609  0.895  0.000
Si  0.391  0.105  0.000
Si  0.891  0.395  0.000

Calculated values
Magnetization, μB/cell: 0.0
DOS(E_F), states/eV/cell: 18.92

---

no.,total energy (eV/atom),ΔE_f (raw) (eV/atom),calculated density (Mg/m³)
1,-4.49,-1.097,6.0
2,-4.49,-1.243,5.8
3,-4.35,-1.202,5.6
4,-4.92,-1.303,7.6
5,-5.04,-1.381,7.7
6,-4.46,-1.088,7.5
7,-4.09,-0.897,7.1
8,-4.44,-1.162,7.0
9,-4.27,-0.997,6.1
10,-4.79,-1.290,6.2
11,-4.94,-0.582,7.3
12,-4.24,-0.139,6.5
13,-4.45,-0.356,7.6
14,-4.05,-0.224,7.4
15,-4.21,-0.452,7.7
16,-4.63,-0.386,7.9
17,-4.67,-0.356,6.8
18,-4.27,-0.316,8.2
19,-4.52,-0.428,7.7